[1]
{"formula": "TbPuZn2", "functional": "PBE", "state": "relaxed", "lattice": [[-2.169, -1.032, 2.643], [2.582, -4.336, 0.425], [3.086, 2.169, 3.380]], "species": ["Zn", "Zn", "Tb", "Pu"], "fractional_positions": [[0.000, 0.000, 0.500], [0.000, 0.500, 0.000], [0.500, 0.500, 0.500], [0.500, 0.000, 0.000]], "crystal_system": "tetragonal", "sg": "P4/mmm (123)", "e_form_ev_per_fu": -0.753}

[2]
{"formula": "TiIrPb3", "functional": "PBE", "state": "relaxed", "lattice": [[-1.373, -0.117, 5.096], [3.887, -3.438, 0.968], [3.298, 4.004, 0.981]], "species": ["Ti", "Pb", "Pb", "Pb", "Ir"], "fractional_positions": [[0.500, 0.500, 0.500], [0.500, 0.000, 0.000], [0.000, 0.000, 0.500], [0.000, 0.500, 0.000], [0.000, 0.000, 0.000]], "crystal_system": "cubic", "sg": "Pm-3m (221)", "e_form_ev_per_fu": 4.263, "polymorph_energy_ev_per_fu": 0.00}

[3]
{"formula": "Tb3In4Pt4", "functional": "PBE", "state": "relaxed", "lattice": [[3.715, 0.000, -0.924], [-0.975, 6.939, -3.919], [0.285, 0.521, 9.075]], "species": ["Tb", "Tb", "Tb", "In", "In", "In", "In", "Pt", "Pt", "Pt", "Pt"], "fractional_positions": [[0.109, 0.109, 0.218], [0.891, 0.891, 0.782], [0.000, 0.500, 0.000], [0.332, 0.528, 0.665], [0.668, 0.472, 0.335], [0.668, 0.863, 0.335], [0.332, 0.137, 0.665], [0.242, 0.742, 0.484], [0.500, 0.797, 0.000], [0.500, 0.203, 0.000], [0.758, 0.258, 0.516]], "crystal_system": "orthorhombic", "sg": "Immm (71)", "e_form_ev_per_fu": -9.585}

[4]
{"formula": "Cs2RbH", "functional": "PBE", "state": "relaxed", "lattice": [[9.559, 0.000, 0.000], [0.000, 9.559, 0.000], [4.780, 4.780, 6.533]], "species": ["Rb", "Rb", "H", "H", "Cs", "Cs", "Cs", "Cs"], "fractional_positions": [[0.750, 0.250, 0.500], [0.000, 0.000, 0.000], [0.500, 0.500, 0.000], [0.250, 0.750, 0.500], [0.435, 0.125, 0.250], [0.875, 0.685, 0.750], [0.375, 0.565, 0.750], [0.315, 0.625, 0.250]], "crystal_system": "tetragonal", "sg": "I-42d (122)", "polymorph_energy_ev_per_fu": 0.03}

[5]
{"formula": "LaNbMo2", "functional": "PBE", "state": "relaxed", "lattice": [[0.000, 3.381, 3.381], [3.381, 0.000, 3.381], [3.381, 3.381, 0.000]], "species": ["Mo", "Mo", "Nb", "La"], "fractional_positions": [[0.250, 0.250, 0.250], [0.750, 0.750, 0.750], [0.000, 0.000, 0.000], [0.500, 0.500, 0.500]], "crystal_system": "cubic", "sg": "Fm-3m (225)", "e_form_ev_per_fu": 1.758, "polymorph_energy_ev_per_fu": 0.00}

[6]
{"formula": "CoIrPt2", "functional": "PBE", "state": "relaxed", "lattice": [[4.717, 0.002, -0.006], [1.561, 4.451, 0.006], [-3.136, -2.231, 2.727]], "species": ["Pt", "Pt", "Ir", "Co"], "fractional_positions": [[0.750, 0.250, 0.500], [0.000, 0.000, 0.000], [0.250, 0.750, 0.500], [0.500, 0.500, 0.000]], "crystal_system": "tetragonal", "sg": "I-4m2 (119)", "e_form_ev_per_fu": 0.074, "polymorph_energy_ev_per_fu": 0.16}

[7]
{"formula": "Dy2Y2Sc", "functional": "PBE", "state": "relaxed", "lattice": [[8.836, 0.000, -0.418], [0.000, 11.462, 0.000], [-2.157, 0.000, 6.109]], "species": ["Y", "Y", "Y", "Y", "Y", "Y", "Y", "Y", "Dy", "Dy", "Dy", "Dy", "Dy", "Dy", "Dy", "Dy", "Sc", "Sc", "Sc", "Sc"], "fractional_positions": [[0.548, 0.653, 0.090], [0.548, 0.153, 0.590], [0.452, 0.847, 0.410], [0.048, 0.347, 0.590], [0.452, 0.347, 0.910], [0.952, 0.653, 0.410], [0.048, 0.847, 0.090], [0.952, 0.153, 0.910], [0.845, 0.929, 0.541], [0.655, 0.429, 0.459], [0.155, 0.571, 0.959], [0.655, 0.929, 0.959], [0.345, 0.571, 0.541], [0.155, 0.071, 0.459], [0.845, 0.429, 0.041], [0.345, 0.071, 0.041], [0.250, 0.323, 0.250], [0.250, 0.823, 0.750], [0.750, 0.677, 0.750], [0.750, 0.177, 0.250]], "crystal_system": "monoclinic", "sg": "C2/c (15)", "e_form_ev_per_fu": 0.200, "polymorph_energy_ev_per_fu": 0.00}

[8]
{"formula": "RbNi2SbP", "functional": "PBE", "state": "relaxed", "lattice": [[4.060, 0.000, 0.000], [0.000, 7.474, -0.040], [0.000, -1.716, 8.114]], "species": ["Rb", "Rb", "P", "P", "Ni", "Ni", "Ni", "Ni", "Sb", "Sb"], "fractional_positions": [[0.250, 0.054, 0.750], [0.750, 0.946, 0.250], [0.750, 0.325, 0.557], [0.250, 0.675, 0.443], [0.750, 0.483, 0.804], [0.250, 0.467, 0.595], [0.750, 0.533, 0.405], [0.250, 0.517, 0.196], [0.250, 0.642, 0.930], [0.750, 0.358, 0.070]], "crystal_system": "monoclinic", "sg": "P2_1/m (11)", "formation_energy_uncorrected_ev_per_atom": -0.326}

[9]
{"formula": "Rb2Ca2As", "functional": "PBE", "state": "relaxed", "lattice": [[7.984, 0.000, 0.000], [0.000, 7.984, 0.000], [0.000, 0.000, 7.376]], "species": ["Ca", "Ca", "Ca", "Ca", "As", "As", "Rb", "Rb", "Rb", "Rb"], "fractional_positions": [[0.180, 0.320, 0.000], [0.820, 0.680, 0.000], [0.320, 0.820, 0.000], [0.680, 0.180, 0.000], [0.500, 0.500, 0.000], [0.000, 0.000, 0.000], [0.185, 0.685, 0.500], [0.315, 0.185, 0.500], [0.685, 0.815, 0.500], [0.815, 0.315, 0.500]], "crystal_system": "tetragonal", "sg": "P4/mbm (127)", "e_form_ev_per_fu": -1.252}

[10]
{"formula": "SbSeSN2", "functional": "PBE", "state": "relaxed", "lattice": [[-2.777, 1.126, 2.494], [-2.367, -2.771, -1.384], [2.295, -4.176, 4.440]], "species": ["Se", "S", "N", "N", "Sb"], "fractional_positions": [[0.000, 0.000, 0.500], [0.500, 0.500, 0.500], [0.000, 0.500, 0.000], [0.500, 0.000, 0.000], [0.000, 0.000, 0.000]], "crystal_system": "tetragonal", "sg": "P4/mmm (123)", "polymorph_energy_ev_per_fu": 0.05, "formation_energy_uncorrected_ev_per_atom": 1.411}

[11]
{"formula": "MgSbOs", "functional": "PBE", "state": "relaxed", "lattice": [[-3.913, -4.836, -4.037], [-4.973, -4.977, -1.143], [-1.702, 1.625, -1.994]], "species": ["Mg", "Sb", "Os"], "fractional_positions": [[0.017, 0.017, 0.983], [0.316, 0.316, 0.684], [0.667, 0.667, 0.333]], "crystal_system": "orthorhombic", "sg": "Fmm2 (42)", "formation_energy_uncorrected_ev_per_atom": 0.494}

[12]
{"formula": "SrSm2AuO5", "functional": "PBE", "state": "relaxed", "lattice": [[-4.864, 3.520, -1.305], [-4.073, -5.120, 1.371], [-0.302, 1.950, 6.386]], "species": ["Au", "Au", "O", "O", "O", "O", "O", "O", "O", "O", "O", "O", "Sr", "Sr", "Sm", "Sm", "Sm", "Sm"], "fractional_positions": [[0.000, 0.500, 0.000], [0.000, 0.000, 0.500], [0.500, 0.500, 0.500], [0.741, 0.648, 0.852], [0.259, 0.148, 0.648], [0.741, 0.352, 0.148], [0.259, 0.648, 0.852], [0.259, 0.852, 0.352], [0.741, 0.852, 0.352], [0.741, 0.148, 0.648], [0.259, 0.352, 0.148], [0.500, 0.000, 0.000], [0.000, 0.500, 0.500], [0.000, 0.000, 0.000], [0.500, 0.172, 0.328], [0.500, 0.672, 0.172], [0.500, 0.828, 0.672], [0.500, 0.328, 0.828]], "crystal_system": "tetragonal", "sg": "P4/mbm (127)", "formation_energy_uncorrected_ev_per_atom": -2.387}

[13]
{"formula": "Ta2ReBr", "functional": "PBE", "state": "relaxed", "lattice": [[-1.446, 2.514, 0.628], [-1.620, -2.445, 0.450], [3.206, -0.440, 9.146]], "species": ["Re", "Ta", "Ta", "Br"], "fractional_positions": [[0.500, 0.500, 0.795], [0.000, 0.000, 0.999], [0.500, 0.500, 0.244], [0.000, 0.000, 0.461]], "crystal_system": "orthorhombic", "sg": "Cmm2 (35)", "polymorph_energy_ev_per_fu": 0.78, "formation_energy_uncorrected_ev_per_atom": 0.373}

[14]
{"formula": "RbSi2OsI", "functional": "PBE", "state": "relaxed", "lattice": [[4.671, 0.000, 0.000], [0.000, 6.354, 0.000], [0.000, 0.000, 4.671]], "species": ["Si", "Si", "Rb", "I", "Os"], "fractional_positions": [[0.000, 0.000, 0.500], [0.500, 0.000, 0.000], [0.500, 0.500, 0.500], [0.000, 0.500, 0.000], [0.000, 0.000, 0.000]], "crystal_system": "tetragonal", "sg": "P4/mmm (123)", "formation_energy_uncorrected_ev_per_atom": 0.054}

[15]
{"formula": "InC3Cl", "functional": "PBE", "state": "relaxed", "lattice": [[-1.328, 0.356, -4.271], [3.385, -2.655, -1.273], [-2.629, -3.599, 0.518]], "species": ["C", "C", "C", "In", "Cl"], "fractional_positions": [[0.500, 0.000, 0.000], [0.000, 0.000, 0.500], [0.000, 0.500, 0.000], [0.000, 0.000, 0.000], [0.500, 0.500, 0.500]], "crystal_system": "cubic", "sg": "Pm-3m (221)", "polymorph_energy_ev_per_fu": 0.45, "formation_energy_uncorrected_ev_per_atom": 3.297}

[16]
{"formula": "AsPbCl", "functional": "PBE", "state": "relaxed", "lattice": [[4.936, 0.000, 0.000], [2.468, 4.275, 0.000], [2.468, 1.425, 4.030]], "species": ["As", "Pb", "Cl"], "fractional_positions": [[0.500, 0.500, 0.500], [0.000, 0.000, 0.000], [0.750, 0.750, 0.750]], "crystal_system": "cubic", "sg": "F-43m (216)", "polymorph_energy_ev_per_fu": 2.39, "formation_energy_uncorrected_ev_per_atom": 0.407}

[17]
{"formula": "FeTcPb2", "functional": "PBE", "state": "relaxed", "lattice": [[-0.764, 2.300, -2.422], [-2.497, -2.045, -1.154], [-4.241, 2.880, 4.073]], "species": ["Fe", "Pb", "Pb", "Tc"], "fractional_positions": [[0.500, 0.500, 0.750], [0.000, 0.000, 0.002], [0.000, 0.000, 0.498], [0.500, 0.500, 0.250]], "crystal_system": "tetragonal", "sg": "P4/mmm (123)", "e_form_ev_per_fu": 2.944, "polymorph_energy_ev_per_fu": 1.55}

[18]
{"formula": "PrMn2H8", "functional": "PBE", "state": "relaxed", "lattice": [[-0.962, -2.693, -2.390], [4.543, -0.127, -1.672], [-1.056, -2.913, 3.721]], "species": ["H", "H", "H", "H", "H", "H", "H", "H", "Mn", "Mn", "Pr"], "fractional_positions": [[0.762, 0.496, 0.496], [0.238, 0.504, 0.504], [0.001, 0.320, 0.027], [0.500, 0.698, 0.302], [0.999, 0.680, 0.973], [0.999, 0.973, 0.680], [0.001, 0.027, 0.320], [0.500, 0.302, 0.698], [0.000, 0.325, 0.675], [0.000, 0.675, 0.325], [0.500, 0.000, 0.000]], "crystal_system": "monoclinic", "sg": "C2/m (12)", "dft_energy_ev_per_cell": -51.5}

[19]
{"formula": "La2PuBr2N2", "functional": "PBE", "state": "relaxed", "lattice": [[-4.046, 0.113, 1.883], [0.877, -3.834, 2.113], [4.618, 6.009, 4.270]], "species": ["La", "La", "N", "N", "Br", "Br", "Pu"], "fractional_positions": [[0.598, 0.598, 0.195], [0.402, 0.402, 0.805], [0.000, 0.500, 0.000], [0.500, 0.000, 0.000], [0.813, 0.813, 0.627], [0.187, 0.187, 0.373], [0.000, 0.000, 0.000]], "crystal_system": "tetragonal", "sg": "I4/mmm (139)", "formation_energy_uncorrected_ev_per_atom": -1.387}

[20]
{"formula": "Sr2LiCr", "functional": "PBE", "state": "relaxed", "lattice": [[4.904, 0.000, 0.000], [0.000, 4.656, -0.006], [0.000, 2.343, 6.302]], "species": ["Cr", "Sr", "Sr", "Li"], "fractional_positions": [[0.000, 0.690, 0.495], [0.500, 0.267, 0.341], [0.000, 0.979, 0.917], [0.500, 0.564, 0.747]], "crystal_system": "monoclinic", "sg": "Pm (6)", "e_form_ev_per_fu": 1.553, "polymorph_energy_ev_per_fu": 0.00}

[21]
{"formula": "PWS2Cl", "functional": "PBE", "state": "relaxed", "lattice": [[-0.946, 0.326, 4.561], [4.138, -1.921, 0.996], [1.817, 3.963, 0.093]], "species": ["P", "S", "S", "Cl", "W"], "fractional_positions": [[0.000, 0.000, 0.000], [0.500, 0.000, 0.000], [0.000, 0.500, 0.000], [0.000, 0.000, 0.500], [0.500, 0.500, 0.500]], "crystal_system": "tetragonal", "sg": "P4/mmm (123)", "polymorph_energy_ev_per_fu": 4.62, "formation_energy_uncorrected_ev_per_atom": 1.125}

[22]
{"formula": "Ca4NiAs", "functional": "PBE", "state": "relaxed", "lattice": [[0.000, 4.454, 4.454], [4.454, 0.000, 4.454], [4.454, 4.454, 0.000]], "species": ["Ni", "Ca", "Ca", "Ca", "Ca", "As"], "fractional_positions": [[0.750, 0.750, 0.750], [0.876, 0.375, 0.375], [0.375, 0.375, 0.375], [0.375, 0.375, 0.876], [0.375, 0.876, 0.375], [0.000, 0.000, 0.000]], "crystal_system": "cubic", "sg": "F-43m (216)", "e_form_ev_per_fu": 3.262}

[23]
{"formula": "MgReAs3", "functional": "PBE", "state": "relaxed", "lattice": [[4.879, 0.000, 0.000], [0.000, 4.879, 0.000], [0.000, 0.000, 4.879]], "species": ["Re", "Mg", "As", "As", "As"], "fractional_positions": [[0.000, 0.000, 0.000], [0.500, 0.500, 0.500], [0.000, 0.000, 0.500], [0.000, 0.500, 0.000], [0.500, 0.000, 0.000]], "crystal_system": "cubic", "sg": "Pm-3m (221)", "e_form_ev_per_fu": 2.443, "polymorph_energy_ev_per_fu": 0.00}

[24]
{"formula": "Cd4NiP", "functional": "PBE", "state": "relaxed", "lattice": [[1.822, -5.128, 1.292], [2.371, -0.954, 4.975], [-2.695, -3.039, 3.845]], "species": ["Cd", "Cd", "Cd", "Cd", "Ni", "P"], "fractional_positions": [[0.874, 0.375, 0.375], [0.375, 0.375, 0.375], [0.375, 0.375, 0.874], [0.375, 0.874, 0.375], [0.750, 0.750, 0.750], [0.000, 0.000, 0.000]], "crystal_system": "cubic", "sg": "F-43m (216)", "e_form_ev_per_fu": 3.332}

[25]
{"formula": "Na4Er3GaTe8", "functional": "PBE", "state": "relaxed", "lattice": [[8.699, 0.000, 0.000], [0.000, 9.096, 0.266], [-4.350, -4.346, 6.158]], "species": ["Te", "Te", "Te", "Te", "Te", "Te", "Te", "Te", "Ga", "Er", "Er", "Er", "Na", "Na", "Na", "Na"], "fractional_positions": [[0.236, 0.723, 0.471], [0.744, 0.732, 0.488], [0.753, 0.723, 0.988], [0.764, 0.277, 0.529], [0.256, 0.268, 0.512], [0.247, 0.277, 0.012], [0.765, 0.277, 0.012], [0.235, 0.723, 0.988], [0.000, 0.500, 0.000], [0.000, 0.500, 0.500], [0.500, 0.500, 0.500], [0.500, 0.500, 0.000], [0.500, 0.000, 0.000], [0.500, 0.000, 0.500], [0.000, 0.000, 0.000], [0.000, 0.000, 0.500]], "crystal_system": "monoclinic", "sg": "C2/m (12)", "formation_energy_uncorrected_ev_per_atom": -1.065}

[26]
{"formula": "PuThCN", "functional": "PBE", "state": "relaxed", "lattice": [[-1.271, 0.870, 3.258], [-1.308, -3.337, 0.380], [4.507, -1.520, 2.164]], "species": ["Pu", "Th", "N", "C"], "fractional_positions": [[0.000, 0.000, 0.500], [0.500, 0.500, 0.000], [0.000, 0.000, 0.000], [0.500, 0.500, 0.500]], "crystal_system": "tetragonal", "sg": "P4/mmm (123)", "formation_energy_uncorrected_ev_per_atom": -0.745}